Density functional theory data (SCAN) for a PBEsol-optimized structure of TeMoW.

Lattice parameters (Å, degrees): 4.4961 4.4961 2.9891 90.00 90.00 120.00
Space group P3m1 (No. 156)
Asymmetric unit:
Te 0.0000 0.0000 0.0000 (multiplicity 1)
Mo 0.3333 0.6667 0.4982 (multiplicity 1)
W 0.6667 0.3333 0.9996 (multiplicity 1)

Values from the calculation:
total magnetic moment = 0.0 μB per formula unit
energy relative to the elements, uncorrected = 0.72 eV per atom

Density functional theory data (SCAN) for a PBEsol-optimized structure of MgMn2Sb.

Lattice parameters (Å, degrees): 5.7883 9.0363 2.9740 90.00 116.68 90.00
Space group C2/m (No. 12)
Asymmetric unit:
Mg 0.0000 0.0000 0.0000 (multiplicity 2)
Mn 0.2500 0.2500 0.5000 (multiplicity 4)
Sb 0.0000 0.5000 0.0000 (multiplicity 2)

Values from the calculation:
total magnetic moment = 7.3 μB per formula unit
energy relative to the elements, uncorrected = 0.06 eV per atom

Density functional theory data (SCAN) for a PBEsol-optimized structure of ZrScHg.

Lattice parameters (Å, degrees): 3.2280 3.2280 7.3304 90.00 90.00 120.00
Space group P3m1 (No. 156)
Asymmetric unit:
Zr 0.0000 0.0000 0.0000 (multiplicity 1)
Sc 0.3333 0.6667 0.3365 (multiplicity 1)
Hg 0.6667 0.3333 0.6638 (multiplicity 1)

Values from the calculation:
total magnetic moment = 0.6 μB per formula unit
DFT formation energy = -0.21 eV/atom

Density functional theory data (SCAN) for a PBEsol-optimized structure of CrSnH3.

Lattice parameters (Å, degrees): 3.6052 3.6052 3.6052 90.00 90.00 90.00
Space group Pm-3m (No. 221)
Asymmetric unit:
Cr 0.0000 0.0000 0.0000 (multiplicity 1)
Sn 0.5000 0.5000 0.5000 (multiplicity 1)
H 0.0000 0.0000 0.5000 (multiplicity 3)

Values from the calculation:
E_tot = -12.629 eV/atom
total magnetic moment = 3.2 μB per formula unit

Density functional theory data (SCAN) for a PBEsol-optimized structure of MgHg2Cl.

Lattice parameters (Å, degrees): 7.2566 7.2566 7.2566 90.00 90.00 90.00
Space group Fm-3m (No. 225)
Asymmetric unit:
Mg 0.0000 0.0000 0.0000 (multiplicity 4)
Hg 0.2500 0.2500 0.2500 (multiplicity 8)
Cl 0.0000 0.0000 0.5000 (multiplicity 4)

Values from the calculation:
total magnetic moment = 0.0 μB per formula unit
energy relative to the elements, uncorrected = -0.25 eV per atom

Density functional theory data (SCAN) for a PBEsol-optimized structure of Na7Cu3O8.

Lattice parameters (Å, degrees): 5.5396 6.0764 7.8669 70.06 71.65 89.93
Space group P-1 (No. 2)
Asymmetric unit:
Na 0.0000 0.0000 0.0000 (multiplicity 1)
Na 0.2539 0.3670 0.5564 (multiplicity 2)
Na 0.2801 0.3916 0.1157 (multiplicity 2)
Na 0.3781 0.8393 0.2105 (multiplicity 2)
Cu 0.0000 0.0000 0.5000 (multiplicity 1)
Cu 0.2564 0.7505 0.7387 (multiplicity 2)
O 0.0394 0.9897 0.7223 (multiplicity 2)
O 0.1303 0.7183 0.5513 (multiplicity 2)
O 0.3509 0.8070 0.9223 (multiplicity 2)
O 0.4305 0.4989 0.7482 (multiplicity 2)

Values from the calculation:
total magnetic moment = 0.2 μB per formula unit
energy relative to the elements, uncorrected = -1.30 eV per atom

Density functional theory data (SCAN) for a PBEsol-optimized structure of TlPtS3.

Lattice parameters (Å, degrees): 4.7148 4.7148 4.7148 90.00 90.00 90.00
Space group Pm-3m (No. 221)
Asymmetric unit:
Tl 0.0000 0.0000 0.0000 (multiplicity 1)
Pt 0.5000 0.5000 0.5000 (multiplicity 1)
S 0.0000 0.5000 0.5000 (multiplicity 3)

Values from the calculation:
total magnetic moment = 2.2 μB per formula unit
energy relative to the elements, uncorrected = 0.24 eV per atom

Density functional theory data (SCAN) for a PBEsol-optimized structure of MnWCl.

Lattice parameters (Å, degrees): 2.9853 2.9853 5.8312 90.00 90.00 120.00
Space group P3m1 (No. 156)
Asymmetric unit:
Mn 0.0000 0.0000 0.0000 (multiplicity 1)
W 0.6667 0.3333 0.7093 (multiplicity 1)
Cl 0.3333 0.6667 0.3281 (multiplicity 1)

Values from the calculation:
total magnetic moment = 2.0 μB per formula unit
energy relative to the elements, uncorrected = 0.26 eV per atom